Material: Si2AgHg
Method: DFT, PBE
State: relaxed

abc: 6.6313 3.7646 7.3398
angles: 90.00 101.90 90.00
Space group Cm (No. 8)
Unique sites:
Si 0.0000 0.0000 0.0000 x2
Si 0.1954 0.5000 0.1114 x2
Ag 0.4833 0.0000 0.7385 x2
Hg 0.2534 0.5000 0.4737 x2

- N(E_F) (states/eV/cell) = 2.99
- mass density (g cm⁻³) = 6.75
- ΔE_f (raw) (meV/atom) = 240.7



Material: CoTcOs4
Method: DFT, PBE
State: relaxed

abc: 7.1702 7.1702 7.1702
angles: 90.00 90.00 90.00
Space group F-43m (No. 216)
Unique sites:
Co 0.0000 0.0000 0.0000 x4
Tc 0.2500 0.2500 0.2500 x4
Os 0.1252 0.1252 0.6252 x16

- N(E_F) (states/eV/cell) = 35.32
- mass density (g cm⁻³) = 16.54
- ΔE to the lowest computed polymorph (meV/atom) = 581.3
- ΔH_f (0 K) (meV per atom) = 769



Material: TiVCd3
Method: DFT, PBE
State: relaxed

abc: 5.1482 5.1482 5.1482
angles: 90.00 90.00 90.00
Space group Pm-3m (No. 221)
Unique sites:
Ti 0.0000 0.0000 0.0000 x1
V 0.5000 0.5000 0.5000 x1
Cd 0.0000 0.5000 0.5000 x3

- N(E_F) (states/eV/cell) = 7.84
- mass density (g cm⁻³) = 5.31
- ΔE to the lowest computed polymorph (meV/atom) = 0.0
- ΔH_f (0 K) (meV per atom) = 1111



Material: PmFePt4
Method: DFT, PBE
State: relaxed

abc: 7.6930 4.0123 6.9206
angles: 90.00 90.00 90.00
Space group Pmma (No. 51)
Unique sites:
Pm 0.2500 0.0000 0.1428 x2
Fe 0.2500 0.0000 0.7286 x2
Pt 0.0000 0.0000 0.5000 x2
Pt 0.0526 0.5000 0.8124 x4
Pt 0.2500 0.5000 0.4702 x2

- N(E_F) (states/eV/cell) = 8.35
- mass density (g cm⁻³) = 15.25
- ΔE to the lowest computed polymorph (meV/atom) = 0.0
- ΔH_f (0 K) (meV per atom) = -549